Here is a geometry-optimized AgP2Se structure from the Alexandria database. Energies are from PBE.

Lattice parameters (Å, degrees): 7.0817 7.0817 7.0817 154.65 148.54 40.82
Positions (direct):
1 Ag 0.2065 0.7065 0.5000
2 P 0.9230 0.9230 0.0000
3 P 0.8097 0.3097 0.5000
4 Se 0.5608 0.5608 0.0000

E_form (uncorrected) = 290 meV per atom
density of states at the Fermi level = 2.23 states/eV per cell
volume = 19.80 Å³ per atom
space-group type = No. 44